1.
# SiNiC3

A relaxed SiNiC3 crystal (PBE-GGA, Alexandria via LeMat-Bulk).

As for the distance to the lowest polymorph of the same formula: 339 meV per atom. As for the crystal system: cubic. For the uncorrected formation energy, the calculation gives 2.422 eV per atom.

The space group is Pm-3m (No. 221) and the conventional cell measures 3.7736, 3.7736 and 3.7736 Å, with angles of 90.00, 90.00 and 90.00 degrees. Symmetry generates all atoms from Si at (0.0000, 0.0000, 0.0000), Ni at (0.5000, 0.5000, 0.5000) and C at (0.0000, 0.5000, 0.5000).

***

2.
# TbSiNiC

A relaxed TbSiNiC crystal (PBE-GGA, Alexandria via LeMat-Bulk).

As for the crystal system: tetragonal. For the uncorrected formation energy, the calculation gives -0.544 eV per atom.

The space group is P4/nmm (No. 129, origin choice 2) and the conventional cell measures 3.6789, 3.6789 and 8.6501 Å, with angles of 90.00, 90.00 and 90.00 degrees. Symmetry generates all atoms from Tb at (0.2500, 0.2500, 0.1455), Si at (0.2500, 0.2500, 0.6603), Ni at (0.2500, 0.7500, 0.5000) and C at (0.2500, 0.2500, 0.8680).

***

3.
# SiTc2NiC

A relaxed SiTc2NiC crystal (PBE-GGA, Alexandria via LeMat-Bulk).

As for the crystal system: tetragonal. For the uncorrected formation energy, the calculation gives 2.025 eV per atom.

The space group is P4/mmm (No. 123) and the conventional cell measures 4.4617, 4.4617 and 4.0225 Å, with angles of 90.00, 90.00 and 90.00 degrees. Symmetry generates all atoms from Si at (0.0000, 0.0000, 0.0000), Tc at (0.0000, 0.5000, 0.0000), Ni at (0.0000, 0.0000, 0.5000) and C at (0.5000, 0.5000, 0.5000).

***

4.
# SiTcNi2C

A relaxed SiTcNi2C crystal (PBE-GGA, Alexandria via LeMat-Bulk).

As for the crystal system: tetragonal. For the uncorrected formation energy, the calculation gives 0.397 eV per atom.

The space group is P4/mmm (No. 123) and the conventional cell measures 3.7007, 3.7007 and 4.1157 Å, with angles of 90.00, 90.00 and 90.00 degrees. Symmetry generates all atoms from Si at (0.0000, 0.0000, 0.0000), Tc at (0.5000, 0.5000, 0.0000), Ni at (0.0000, 0.5000, 0.5000) and C at (0.0000, 0.0000, 0.5000).

***

5.
# Th2SiNiC

A relaxed Th2SiNiC crystal (PBE-GGA, Alexandria via LeMat-Bulk).

As for the crystal system: monoclinic. For the uncorrected formation energy, the calculation gives -0.565 eV per atom.

The space group is P2_1/m (No. 11) and the conventional cell measures 6.4086, 3.9068 and 8.2966 Å, with angles of 90.00, 106.46 and 90.00 degrees. Symmetry generates all atoms from Th at (0.2076, 0.2500, 0.3882), Th at (0.2264, 0.2500, 0.9603), Si at (0.3134, 0.7500, 0.6870), Ni at (0.4733, 0.7500, 0.2486) and C at (0.1616, 0.7500, 0.1630).

***

6.
# Ti2SiNiC

A relaxed Ti2SiNiC crystal (PBE-GGA, Alexandria via LeMat-Bulk).

As for the crystal system: tetragonal. For the uncorrected formation energy, the calculation gives 1.291 eV per atom.

The space group is P4/mmm (No. 123) and the conventional cell measures 4.5801, 4.5801 and 4.0125 Å, with angles of 90.00, 90.00 and 90.00 degrees. Symmetry generates all atoms from Ti at (0.0000, 0.5000, 0.0000), Si at (0.0000, 0.0000, 0.0000), Ni at (0.0000, 0.0000, 0.5000) and C at (0.5000, 0.5000, 0.5000).

***

7.
# TmSiNiC

A relaxed TmSiNiC crystal (PBE-GGA, Alexandria via LeMat-Bulk).

As for the crystal system: tetragonal. For the uncorrected formation energy, the calculation gives -0.570 eV per atom.

The space group is P4/nmm (No. 129, origin choice 2) and the conventional cell measures 3.5994, 3.5994 and 8.7053 Å, with angles of 90.00, 90.00 and 90.00 degrees. Symmetry generates all atoms from Tm at (0.2500, 0.2500, 0.1398), Si at (0.2500, 0.2500, 0.6643), Ni at (0.2500, 0.7500, 0.5000) and C at (0.2500, 0.2500, 0.8702).

***

8.
# SmNiC

A relaxed SmNiC crystal (PBE-GGA, Alexandria via LeMat-Bulk).

The energy of formation from the pure elements is -0.202 eV/atom. As for the crystal system: triclinic.

The space group is P-1 (No. 2) and the conventional cell measures 3.8067, 3.8864 and 6.7786 Å, with angles of 102.01, 105.95 and 90.91 degrees. Symmetry generates all atoms from Sm at (0.1235, 0.4031, 0.2390), Ni at (0.3079, 0.0372, 0.6197) and C at (0.4635, 0.0723, 0.9152).

***

9.
# Ni2SnC

A relaxed Ni2SnC crystal (PBE-GGA, Alexandria via LeMat-Bulk).

As for the distance to the lowest polymorph of the same formula: 0 meV per atom. The energy of formation from the pure elements is 0.405 eV/atom. As for the crystal system: tetragonal.

The space group is I-42d (No. 122) and the conventional cell measures 4.5524, 4.5524 and 11.3919 Å, with angles of 90.00, 90.00 and 90.00 degrees. Symmetry generates all atoms from Ni at (0.0862, 0.2500, 0.1250), Sn at (0.0000, 0.0000, 0.5000) and C at (0.0000, 0.0000, 0.0000).

***

10.
# NiSn3C

A relaxed NiSn3C crystal (PBE-GGA, Alexandria via LeMat-Bulk).

As for the distance to the lowest polymorph of the same formula: 0 meV per atom. The energy of formation from the pure elements is 1.024 eV/atom. As for the crystal system: cubic.

The space group is Pm-3m (No. 221) and the conventional cell measures 4.6624, 4.6624 and 4.6624 Å, with angles of 90.00, 90.00 and 90.00 degrees. Symmetry generates all atoms from Ni at (0.0000, 0.0000, 0.0000), Sn at (0.0000, 0.5000, 0.5000) and C at (0.5000, 0.5000, 0.5000).

***

11.
# NiSn3C

A relaxed NiSn3C crystal (PBE-GGA, Alexandria via LeMat-Bulk).

As for the distance to the lowest polymorph of the same formula: 206 meV per atom. The energy of formation from the pure elements is 1.231 eV/atom. As for the crystal system: cubic.

The space group is Pm-3m (No. 221) and the conventional cell measures 4.8771, 4.8771 and 4.8771 Å, with angles of 90.00, 90.00 and 90.00 degrees. Symmetry generates all atoms from Ni at (0.0000, 0.0000, 0.0000), Sn at (0.0000, 0.0000, 0.5000) and C at (0.5000, 0.5000, 0.5000).

***

12.
# Ni2SnC

A relaxed Ni2SnC crystal (PBE-GGA, Alexandria via LeMat-Bulk).

As for the distance to the lowest polymorph of the same formula: 696 meV per atom. The energy of formation from the pure elements is 1.100 eV/atom. As for the crystal system: cubic.

The space group is Fm-3m (No. 225) and the conventional cell measures 5.8659, 5.8659 and 5.8659 Å, with angles of 90.00, 90.00 and 90.00 degrees. Symmetry generates all atoms from Ni at (0.2500, 0.2500, 0.2500), Sn at (0.0000, 0.0000, 0.0000) and C at (0.0000, 0.0000, 0.5000).

***

13.
# NiSnC3

A relaxed NiSnC3 crystal (PBE-GGA, Alexandria via LeMat-Bulk).

As for the distance to the lowest polymorph of the same formula: 1030 meV per atom. The energy of formation from the pure elements is 3.221 eV/atom. As for the crystal system: cubic.

The space group is Pm-3m (No. 221) and the conventional cell measures 4.2416, 4.2416 and 4.2416 Å, with angles of 90.00, 90.00 and 90.00 degrees. Symmetry generates all atoms from Ni at (0.0000, 0.0000, 0.0000), Sn at (0.5000, 0.5000, 0.5000) and C at (0.0000, 0.5000, 0.5000).

***

14.
# NiSn2C

A relaxed NiSn2C crystal (PBE-GGA, Alexandria via LeMat-Bulk).

The energy of formation from the pure elements is 0.669 eV/atom. As for the crystal system: tetragonal.

The space group is I-42d (No. 122) and the conventional cell measures 5.8909, 5.8909 and 8.7420 Å, with angles of 90.00, 90.00 and 90.00 degrees. Symmetry generates all atoms from Ni at (0.0000, 0.0000, 0.0000), Sn at (0.2054, 0.2500, 0.6250) and C at (0.0000, 0.0000, 0.5000).

***

15.
# NiSnC2

A relaxed NiSnC2 crystal (PBE-GGA, Alexandria via LeMat-Bulk).

The energy of formation from the pure elements is 1.122 eV/atom. As for the crystal system: tetragonal.

The space group is I-42d (No. 122) and the conventional cell measures 4.6750, 4.6750 and 9.7379 Å, with angles of 90.00, 90.00 and 90.00 degrees. Symmetry generates all atoms from Ni at (0.0000, 0.0000, 0.0000), Sn at (0.0000, 0.0000, 0.5000) and C at (0.1909, 0.2500, 0.1250).

***

16.
# NiSnC3

A relaxed NiSnC3 crystal (PBE-GGA, Alexandria via LeMat-Bulk).

As for the distance to the lowest polymorph of the same formula: 0 meV per atom. The energy of formation from the pure elements is 2.191 eV/atom. As for the crystal system: cubic.

The space group is Pm-3m (No. 221) and the conventional cell measures 3.8846, 3.8846 and 3.8846 Å, with angles of 90.00, 90.00 and 90.00 degrees. Symmetry generates all atoms from Ni at (0.0000, 0.0000, 0.0000), Sn at (0.5000, 0.5000, 0.5000) and C at (0.0000, 0.0000, 0.5000).

***

17.
# SrNi2SnC

A relaxed SrNi2SnC crystal (PBE-GGA, Alexandria via LeMat-Bulk).

The energy of formation from the pure elements is 0.965 eV/atom. As for the crystal system: tetragonal.

The space group is P4/mmm (No. 123) and the conventional cell measures 4.8001, 4.8001 and 4.4499 Å, with angles of 90.00, 90.00 and 90.00 degrees. Symmetry generates all atoms from Sr at (0.0000, 0.0000, 0.0000), Ni at (0.0000, 0.5000, 0.5000), Sn at (0.5000, 0.5000, 0.5000) and C at (0.5000, 0.5000, 0.0000).

***

18.
# SrNiSnC2

A relaxed SrNiSnC2 crystal (PBE-GGA, Alexandria via LeMat-Bulk).

The energy of formation from the pure elements is 1.487 eV/atom. As for the crystal system: tetragonal.

The space group is P4/mmm (No. 123) and the conventional cell measures 4.2086, 4.2086 and 4.8797 Å, with angles of 90.00, 90.00 and 90.00 degrees. Symmetry generates all atoms from Sr at (0.0000, 0.0000, 0.0000), Ni at (0.5000, 0.5000, 0.5000), Sn at (0.5000, 0.5000, 0.0000) and C at (0.0000, 0.5000, 0.5000).

***

19.
# ZrNi2SnC

A relaxed ZrNi2SnC crystal (PBE-GGA, Alexandria via LeMat-Bulk).

The energy of formation from the pure elements is 1.335 eV/atom. As for the crystal system: tetragonal.

The space group is P4/mmm (No. 123) and the conventional cell measures 4.6171, 4.6171 and 4.2077 Å, with angles of 90.00, 90.00 and 90.00 degrees. Symmetry generates all atoms from Zr at (0.0000, 0.0000, 0.0000), Ni at (0.0000, 0.5000, 0.5000), Sn at (0.5000, 0.5000, 0.5000) and C at (0.5000, 0.5000, 0.0000).

***

20.
# SrNi4C2

A relaxed SrNi4C2 crystal (PBE-GGA, Alexandria via LeMat-Bulk).

The energy of formation from the pure elements is 0.038 eV/atom. As for the crystal system: orthorhombic.

The space group is Cmmm (No. 65) and the conventional cell measures 3.5550, 13.8093 and 3.5646 Å, with angles of 90.00, 90.00 and 90.00 degrees. Symmetry generates all atoms from Sr at (0.0000, 0.0000, 0.0000), Ni at (0.0000, 0.1828, 0.5000), Ni at (0.0000, 0.3189, 0.0000) and C at (0.0000, 0.3660, 0.5000).

***

21.
# Sr2NiC

A relaxed Sr2NiC crystal (PBE-GGA, Alexandria via LeMat-Bulk).

As for the distance to the lowest polymorph of the same formula: 0 meV per atom. The energy of formation from the pure elements is 0.840 eV/atom. As for the crystal system: cubic.

The space group is Fm-3m (No. 225) and the conventional cell measures 6.9845, 6.9845 and 6.9845 Å, with angles of 90.00, 90.00 and 90.00 degrees. Symmetry generates all atoms from Sr at (0.2500, 0.2500, 0.2500), Ni at (0.0000, 0.0000, 0.0000) and C at (0.0000, 0.0000, 0.5000).

***

22.
# SrNiC

A relaxed SrNiC crystal (PBE-GGA, Alexandria via LeMat-Bulk).

As for the distance to the lowest polymorph of the same formula: 0 meV per atom. The energy of formation from the pure elements is 0.008 eV/atom. As for the crystal system: triclinic.

The space group is P-1 (No. 2) and the conventional cell measures 3.9082, 4.2224 and 6.8673 Å, with angles of 100.83, 105.59 and 90.57 degrees. Symmetry generates all atoms from Sr at (0.1270, 0.4172, 0.2402), Ni at (0.3089, 0.0331, 0.6249) and C at (0.4529, 0.0429, 0.9099).

***

23.
# SrNiC

A relaxed SrNiC crystal (PBE-GGA, Alexandria via LeMat-Bulk).

As for the distance to the lowest polymorph of the same formula: 293 meV per atom. The energy of formation from the pure elements is 0.302 eV/atom. As for the crystal system: orthorhombic.

The space group is Cmcm (No. 63) and the conventional cell measures 5.8371, 6.7823 and 6.4629 Å, with angles of 90.00, 90.00 and 90.00 degrees. Symmetry generates all atoms from Sr at (0.0000, 0.1636, 0.2500), Ni at (0.0000, 0.4000, 0.7500) and C at (0.0000, 0.5000, 0.0000).

***

24.
# SrNi4C4

A relaxed SrNi4C4 crystal (PBE-GGA, Alexandria via LeMat-Bulk).

The energy of formation from the pure elements is 0.234 eV/atom. As for the crystal system: tetragonal.

The space group is P4_2/n (No. 86, origin choice 2) and the conventional cell measures 7.2441, 7.2441 and 3.6688 Å, with angles of 90.00, 90.00 and 90.00 degrees. Symmetry generates all atoms from Sr at (0.2500, 0.2500, 0.2500), Ni at (0.0988, 0.6550, 0.0782) and C at (0.0393, 0.9319, 0.1050).

***

25.
# SrNiC

A relaxed SrNiC crystal (PBE-GGA, Alexandria via LeMat-Bulk).

As for the distance to the lowest polymorph of the same formula: 347 meV per atom. The energy of formation from the pure elements is 0.355 eV/atom. As for the crystal system: hexagonal.

The space group is P-6m2 (No. 187) and the conventional cell measures 3.4889, 3.4889 and 4.4285 Å, with angles of 90.00, 90.00 and 120.00 degrees. Symmetry generates all atoms from Sr at (0.0000, 0.0000, 0.0000), Ni at (0.6667, 0.3333, 0.5000) and C at (0.3333, 0.6667, 0.5000).

***

26.
# SrNi2C2

A relaxed SrNi2C2 crystal (PBE-GGA, Alexandria via LeMat-Bulk).

As for the distance to the lowest polymorph of the same formula: 0 meV per atom. The energy of formation from the pure elements is 0.098 eV/atom. As for the crystal system: orthorhombic.

The space group is Cmcm (No. 63) and the conventional cell measures 3.7515, 10.3163 and 7.1660 Å, with angles of 90.00, 90.00 and 90.00 degrees. Symmetry generates all atoms from Sr at (0.0000, 0.0545, 0.2500), Ni at (0.0000, 0.3128, 0.0685) and C at (0.0000, 0.2033, 0.6534).

***

| no. | M_tot (Bohr magnetons per cell) |
| --- | --- |
| 1 | 0.00 |
| 2 | 0.00 |
| 3 | 2.48 |
| 4 | 0.75 |
| 5 | 0.00 |
| 6 | 0.00 |
| 7 | 0.00 |
| 8 | 0.00 |
| 9 | 0.00 |
| 10 | 0.00 |
| 11 | 0.94 |
| 12 | 0.00 |
| 13 | 0.00 |
| 14 | 0.00 |
| 15 | 0.00 |
| 16 | 0.05 |
| 17 | 0.00 |
| 18 | 0.00 |
| 19 | 0.00 |
| 20 | 0.00 |
| 21 | 4.27 |
| 22 | 0.00 |
| 23 | 0.00 |
| 24 | 0.00 |
| 25 | 0.12 |
| 26 | 0.00 |